No. 1
The following is a GGA-PBE calculation of Hg2PbCl after structural relaxation, from the Alexandria database.

Summary:
E_tot (eV per atom): -1.735
Magnetization (μB per formula unit): 0.000
Crystal system: trigonal

Cell and atoms, written as CIF:
```
data_Hg2PbCl
_space_group_name_H-M_alt 'P 1'
_space_group_IT_number 1
_space_group_name_Hall 'P 1'
_cell_length_a 8.6105
_cell_length_b 8.6105
_cell_length_c 8.6105
_cell_angle_alpha 27.06
_cell_angle_beta 27.06
_cell_angle_gamma 27.06
loop_
_atom_site_label
_atom_site_type_symbol
_atom_site_fract_x
_atom_site_fract_y
_atom_site_fract_z
_atom_site_occupancy
Hg1 Hg 0.2470 0.2470 0.2470 1
Hg2 Hg 0.7530 0.7530 0.7530 1
Pb1 Pb 0.0000 0.0000 0.0000 1
Cl1 Cl 0.5000 0.5000 0.5000 1
```

No. 2
The following is a GGA-PBE calculation of Dy2InCo after structural relaxation, from the Alexandria database.

Summary:
E_tot (eV per atom): -5.078
Magnetization (μB per formula unit): 0.710
Formation energy (eV/atom): -0.316
Crystal system: tetragonal

Cell and atoms, written as CIF:
```
data_Dy2InCo
_space_group_name_H-M_alt 'P 1'
_space_group_IT_number 1
_space_group_name_Hall 'P 1'
_cell_length_a 3.4393
_cell_length_b 3.4393
_cell_length_c 7.6753
_cell_angle_alpha 90.00
_cell_angle_beta 90.00
_cell_angle_gamma 90.00
loop_
_atom_site_label
_atom_site_type_symbol
_atom_site_fract_x
_atom_site_fract_y
_atom_site_fract_z
_atom_site_occupancy
Dy1 Dy 0.0000 0.0000 0.2128 1
Dy2 Dy 0.0000 0.0000 0.7872 1
In1 In 0.5000 0.5000 0.5000 1
Co1 Co 0.5000 0.5000 0.0000 1
```

No. 3
The following is a GGA-PBE calculation of Pm5ThPb8 after structural relaxation, from the Alexandria database.

Summary:
E_tot (eV per atom): -4.700
Magnetization (μB per formula unit): 0.000
Formation energy (eV/atom): -0.355
Crystal system: tetragonal

Cell and atoms, written as CIF:
```
data_Pm5ThPb8
_space_group_name_H-M_alt 'P 1'
_space_group_IT_number 1
_space_group_name_Hall 'P 1'
_cell_length_a 8.3068
_cell_length_b 8.3068
_cell_length_c 8.3068
_cell_angle_alpha 108.45
_cell_angle_beta 108.45
_cell_angle_gamma 111.54
loop_
_atom_site_label
_atom_site_type_symbol
_atom_site_fract_x
_atom_site_fract_y
_atom_site_fract_z
_atom_site_occupancy
Pm1 Pm 0.0000 0.0000 0.0000 1
Pm2 Pm 0.1535 0.2565 0.6556 1
Pm3 Pm 0.5021 0.8465 0.1030 1
Pm4 Pm 0.6009 0.4979 0.3444 1
Pm5 Pm 0.7435 0.3991 0.8970 1
Th1 Th 0.2500 0.7500 0.5000 1
Pb1 Pb 0.0161 0.6028 0.7303 1
Pb2 Pb 0.1868 0.4586 0.0847 1
Pb3 Pb 0.3739 0.1021 0.9153 1
Pb4 Pb 0.3972 0.1275 0.4133 1
Pb5 Pb 0.5414 0.6261 0.7282 1
Pb6 Pb 0.7142 0.9839 0.5867 1
Pb7 Pb 0.8725 0.2858 0.2697 1
Pb8 Pb 0.8979 0.8132 0.2718 1
```